Record 1
The following is a PBE-GGA calculation of a relaxed CuNiOs crystal, from Alexandria.

```
data_CuNiOs
_cell_length_a 13.4134
_cell_length_b 2.6400
_cell_length_c 4.5700
_cell_angle_alpha 90.00
_cell_angle_beta 109.87
_cell_angle_gamma 90.00
_space_group_name_H-M_alt 'C 1 2/m 1'
_space_group_IT_number 12
_space_group_name_Hall '-C 2y'
loop_
_atom_site_label
_atom_site_type_symbol
_atom_site_fract_x
_atom_site_fract_y
_atom_site_fract_z
Cu1 Cu 0.0778 0.0000 0.4103
Ni1 Ni 0.0842 0.5000 0.9217
Os1 Os 0.2453 0.0000 0.2434
```

E above lowest polymorph = 47 meV/atom
magnetization = 0.000 μB/atom
E = -82.1 eV/cell
N(E_F) = 1.0571 states/eV/atom
calculated volume = 12.7 Å³/atom
DFT formation energy = 0.1929 eV/atom

***

Record 2
The following is a PBE-GGA calculation of a relaxed Tb3PrSm5 crystal, from Alexandria.

```
data_Tb3PrSm5
_cell_length_a 16.4685
_cell_length_b 6.7915
_cell_length_c 11.5870
_cell_angle_alpha 90.00
_cell_angle_beta 109.61
_cell_angle_gamma 90.00
_space_group_name_H-M_alt 'C 1 2/c 1'
_space_group_IT_number 15
_space_group_name_Hall '-C 2yc'
loop_
_atom_site_label
_atom_site_type_symbol
_atom_site_fract_x
_atom_site_fract_y
_atom_site_fract_z
Tb1 Tb 0.0000 0.0000 0.0000
Tb2 Tb 0.2402 0.3933 0.3678
Pr1 Pr 0.0000 0.2358 0.2500
Sm1 Sm 0.0000 0.3166 0.7500
Sm2 Sm 0.1099 0.4982 0.0491
Sm3 Sm 0.1735 0.1014 0.8559
```

E above lowest polymorph = 0 meV/atom
magnetization = 0.000 μB/atom
E = -163.0 eV/cell
N(E_F) = 1.5027 states/eV/atom
calculated volume = 33.9 Å³/atom
DFT formation energy = 0.1693 eV/atom

***

Record 3
The following is a PBE-GGA calculation of a relaxed LiLuThCu crystal, from Alexandria.

```
data_LiLuThCu
_cell_length_a 7.1265
_cell_length_b 7.1265
_cell_length_c 7.1265
_cell_angle_alpha 90.00
_cell_angle_beta 90.00
_cell_angle_gamma 90.00
_space_group_name_H-M_alt 'F -4 3 m'
_space_group_IT_number 216
_space_group_name_Hall 'F -4 2 3'
loop_
_atom_site_label
_atom_site_type_symbol
_atom_site_fract_x
_atom_site_fract_y
_atom_site_fract_z
Li1 Li 0.0000 0.0000 0.0000
Lu1 Lu 0.2500 0.2500 0.7500
Th1 Th 0.2500 0.2500 0.2500
Cu1 Cu 0.0000 0.0000 0.5000
```

magnetization = 0.123 μB/atom
E = -70.6 eV/cell
N(E_F) = 1.4957 states/eV/atom
calculated volume = 22.6 Å³/atom
DFT formation energy = 0.0728 eV/atom

***

Record 4
The following is a PBE-GGA calculation of a relaxed Rb6As3Cl14 crystal, from Alexandria.

```
data_Rb6As3Cl14
_cell_length_a 12.2700
_cell_length_b 12.2700
_cell_length_c 5.9194
_cell_angle_alpha 90.00
_cell_angle_beta 90.00
_cell_angle_gamma 120.00
_space_group_name_H-M_alt 'P 3'
_space_group_IT_number 143
_space_group_name_Hall 'P 3'
loop_
_atom_site_label
_atom_site_type_symbol
_atom_site_fract_x
_atom_site_fract_y
_atom_site_fract_z
Rb1 Rb 0.0270 0.5635 0.0000
Rb2 Rb 0.3027 0.1045 0.4785
As1 As 0.0000 0.0000 0.8822
As2 As 0.3333 0.6667 0.3991
As3 As 0.6667 0.3333 0.7395
Cl1 Cl 0.0000 0.0000 0.3566
Cl2 Cl 0.0806 0.8564 0.8555
Cl3 Cl 0.1888 0.4444 0.3549
Cl4 Cl 0.3333 0.6667 0.8368
Cl5 Cl 0.4676 0.2047 0.9690
Cl6 Cl 0.5381 0.4056 0.5106
```

magnetization = 0.007 μB/atom
E = -75.0 eV/cell
formation energy from raw total energies = -29.42 eV/f.u.
N(E_F) = 0.0835 states/eV/atom
calculated volume = 33.6 Å³/atom

***

Record 5
The following is a PBE-GGA calculation of a relaxed DyTm5Rh2 crystal, from Alexandria.

```
data_DyTm5Rh2
_cell_length_a 3.7465
_cell_length_b 12.9822
_cell_length_c 17.7450
_cell_angle_alpha 90.00
_cell_angle_beta 90.00
_cell_angle_gamma 90.00
_space_group_name_H-M_alt 'C m c m'
_space_group_IT_number 63
_space_group_name_Hall '-C 2c 2'
loop_
_atom_site_label
_atom_site_type_symbol
_atom_site_fract_x
_atom_site_fract_y
_atom_site_fract_z
Dy1 Dy 0.0000 0.2254 0.2500
Tm1 Tm 0.0000 0.0490 0.7500
Tm2 Tm 0.0000 0.1710 0.0585
Tm3 Tm 0.0000 0.4400 0.0884
Rh1 Rh 0.0000 0.2017 0.6345
```

magnetization = 0.000 μB/atom
E = -180.8 eV/cell
N(E_F) = 1.0050 states/eV/atom
calculated volume = 27.0 Å³/atom
DFT formation energy = -0.4425 eV/atom

***

Record 6
The following is a PBE-GGA calculation of a relaxed TaAsOs2 crystal, from Alexandria.

```
data_TaAsOs2
_cell_length_a 2.8932
_cell_length_b 4.0825
_cell_length_c 5.2990
_cell_angle_alpha 90.00
_cell_angle_beta 90.00
_cell_angle_gamma 90.00
_space_group_name_H-M_alt 'P m m 2'
_space_group_IT_number 25
_space_group_name_Hall 'P 2 -2'
loop_
_atom_site_label
_atom_site_type_symbol
_atom_site_fract_x
_atom_site_fract_y
_atom_site_fract_z
Ta1 Ta 0.0000 0.0000 0.0000
As1 As 0.5000 0.5000 0.2793
Os1 Os 0.0000 0.0000 0.5035
Os2 Os 0.5000 0.5000 0.7466
```

magnetization = 0.000 μB/atom
E = -38.2 eV/cell
N(E_F) = 0.7235 states/eV/atom
calculated volume = 15.6 Å³/atom
DFT formation energy = 0.1928 eV/atom